ZrRe2Ru (GGA-PBEsol, optimized geometry); spin magnetization = 0.00 μB per cell; crystal system = orthorhombic; energy of formation = -28 meV per atom
1.0
-1.940 2.364 0.564
-2.818 -2.760 1.874
2.026 0.693 4.066
Re Ru Zr
2 1 1
direct
0.500 0.500 0.000
0.000 0.000 0.000
0.500 0.000 0.500
0.000 0.500 0.500



MnZn2 (GGA-PBEsol, optimized geometry); spin magnetization = 4.23 μB per cell; crystal system = monoclinic; energy of formation = 106 meV per atom
1.0
2.619 0.000 0.000
-1.309 4.872 -0.024
0.000 -1.610 6.027
Zn Mn
4 2
direct
0.725 0.451 0.948
0.384 0.768 0.276
0.334 0.669 0.665
0.058 0.117 0.610
0.009 0.017 0.014
0.656 0.312 0.319



LiZrAg (GGA-PBEsol, optimized geometry); spin magnetization = 0.00 μB per cell; crystal system = orthorhombic; energy of formation = 53 meV per atom
1.0
2.867 0.064 0.000
-0.614 2.801 0.000
-1.126 -1.432 6.785
Zr Li Ag
1 1 1
direct
0.660 0.660 0.320
0.348 0.348 0.696
0.992 0.992 0.984



Ba2IrW (GGA-PBEsol, optimized geometry); spin magnetization = 0.00 μB per cell; crystal system = trigonal; energy of formation = 1391 meV per atom
1.0
3.201 0.000 0.000
1.600 2.772 0.000
1.600 0.924 10.772
W Ba Ir
1 2 1
direct
0.000 0.000 0.000
0.756 0.756 0.733
0.244 0.244 0.267
0.500 0.500 0.500



Which of these has the lowest energy of formation? ZrRe2Ru